Record 1
The following is a DFT calculation (PBE-GGA) of a geometry-optimized PmEu2Ho structure.

a = 3.672 Å, b = 3.672 Å, c = 10.646 Å
α = 90.00°, β = 90.00°, γ = 90.00°
Site moments in Bohr magnetons follow the coordinates.
Atoms (fractional coordinates):
1 Eu 0.000 0.000 0.754  6.91
2 Eu 0.000 0.000 0.246  6.91
3 Ho 0.500 0.500 0.000  0.40
4 Pm 0.500 0.500 0.500  0.03

magnetization: 15.18 μB/f.u.
formation energy from the elements: 0.11 eV per atom
space-group type: P4/mmm, No. 123
energy above the most stable polymorph in this dataset: 0 meV per atom
DOS at the Fermi energy: 4.3 states/eV per cell

Record 2
The following is a DFT calculation (PBE-GGA) of a geometry-optimized La2MnNi4Ge3 structure.

a = 4.194 Å, b = 4.194 Å, c = 9.825 Å
α = 90.00°, β = 90.00°, γ = 90.00°
Site moments in Bohr magnetons follow the coordinates.
Atoms (fractional coordinates):
1 La 0.500 0.000 0.248  -0.03
2 La 0.000 0.500 0.752  -0.03
3 Mn 0.500 0.500 0.500  3.42
4 Ni 0.500 0.500 0.000  -0.04
5 Ni 0.000 0.000 0.000  0.00
6 Ni 0.500 0.000 0.632  0.18
7 Ni 0.000 0.500 0.368  0.18
8 Ge 0.000 0.000 0.500  -0.05
9 Ge 0.500 0.000 0.877  0.00
10 Ge 0.000 0.500 0.123  0.00

magnetization: 3.69 μB/f.u.
formation energy from the elements: -0.57 eV per atom
space-group type: P-4m2, No. 115
DOS at the Fermi energy: 7.7 states/eV per cell

Record 3
The following is a DFT calculation (PBE-GGA) of a geometry-optimized Rb2CeUS6 structure.

a = 7.444 Å, b = 7.444 Å, c = 10.527 Å
α = 90.00°, β = 90.00°, γ = 90.00°
Site moments in Bohr magnetons follow the coordinates.
Atoms (fractional coordinates):
1 Rb 0.500 0.750 0.250  0.00
2 Rb 0.000 0.250 0.750  0.00
3 Rb 0.500 0.750 0.750  0.00
4 Rb 0.000 0.250 0.250  0.00
5 Ce 0.000 0.750 0.500  -0.20
6 Ce 0.500 0.250 0.000  -0.20
7 U 0.500 0.250 0.500  -0.17
8 U 0.000 0.750 0.000  -0.17
9 S 0.500 0.250 0.258  0.01
10 S 0.500 0.250 0.742  0.01
11 S 0.000 0.750 0.242  0.01
12 S 0.000 0.750 0.758  0.01
13 S 0.258 0.007 0.500  0.01
14 S 0.742 0.007 0.500  0.01
15 S 0.258 0.492 0.500  0.01
16 S 0.742 0.492 0.500  0.01
17 S 0.758 0.508 0.000  0.01
18 S 0.242 0.508 0.000  0.01
19 S 0.242 0.993 0.000  0.01
20 S 0.758 0.993 0.000  0.01

magnetization: 0.26 μB/f.u.
space-group type: Pmmn, No. 59
formation energy (no corrections): -1.422 eV per atom

Record 4
The following is a DFT calculation (PBE-GGA) of a geometry-optimized FeTe2Os structure.

a = 6.500 Å, b = 6.500 Å, c = 6.500 Å
α = 150.95°, β = 141.82°, γ = 48.68°
Site moments in Bohr magnetons follow the coordinates.
Atoms (fractional coordinates):
1 Fe 0.428 0.428 0.000  2.71
2 Os 0.239 0.739 0.500  0.13
3 Te 0.048 0.048 0.000  -0.02
4 Te 0.786 0.286 0.500  -0.02

magnetization: 2.84 μB/f.u.
space-group type: Imm2, No. 44
formation energy (no corrections): 0.629 eV per atom
energy above the most stable polymorph in this dataset: 470 meV per atom
DOS at the Fermi energy: 4.7 states/eV per cell

Record 5
The following is a DFT calculation (PBE-GGA) of a geometry-optimized Sr2ScPt structure.

a = 10.269 Å, b = 10.269 Å, c = 10.269 Å
α = 22.53°, β = 22.53°, γ = 22.53°
Site moments in Bohr magnetons follow the coordinates.
Atoms (fractional coordinates):
1 Pt 0.250 0.250 0.250  0.02
2 Sc 0.750 0.750 0.750  0.71
3 Sr 0.979 0.979 0.979  0.03
4 Sr 0.521 0.521 0.521  0.03

magnetization: 1.60 μB/f.u.
formation energy from the elements: -0.10 eV per atom
space-group type: R-3m, No. 166
energy above the most stable polymorph in this dataset: 359 meV per atom
DOS at the Fermi energy: 5.1 states/eV per cell

Record 6
The following is a DFT calculation (PBE-GGA) of a geometry-optimized K2SbOs structure.

a = 5.603 Å, b = 4.181 Å, c = 4.181 Å
α = 90.00°, β = 90.00°, γ = 90.00°
Site moments in Bohr magnetons follow the coordinates.
Atoms (fractional coordinates):
1 K 0.000 0.000 0.000  0.00
2 K 0.000 0.500 0.500  0.00
3 Os 0.500 0.500 0.000  0.89
4 Sb 0.500 0.000 0.500  0.03

magnetization: 1.09 μB/f.u.
space-group type: P4/mmm, No. 123
formation energy (no corrections): 0.822 eV per atom
DOS at the Fermi energy: 3.7 states/eV per cell

Record 7
The following is a DFT calculation (PBE-GGA) of a geometry-optimized TlZnF3 structure.

a = 6.831 Å, b = 6.831 Å, c = 4.771 Å
α = 90.00°, β = 90.00°, γ = 128.74°
Atoms (fractional coordinates):
1 Tl 0.156 0.844 0.250
2 Tl 0.844 0.156 0.750
3 Zn 0.440 0.560 0.250
4 Zn 0.560 0.440 0.750
5 F 0.091 0.453 0.250
6 F 0.547 0.909 0.250
7 F 0.453 0.091 0.750
8 F 0.909 0.547 0.750
9 F 0.000 0.000 0.000
10 F 0.000 0.000 0.500

magnetization: 0.00 μB/f.u.
space-group type: Cmcm, No. 63
formation energy (no corrections): -1.445 eV per atom
DOS at the Fermi energy: 0.5 states/eV per cell

Record 8
The following is a DFT calculation (PBE-GGA) of a geometry-optimized TaCrSi2 structure.

a = 8.376 Å, b = 8.376 Å, c = 8.376 Å
α = 19.80°, β = 19.80°, γ = 19.80°
Site moments in Bohr magnetons follow the coordinates.
Atoms (fractional coordinates):
1 Cr 0.744 0.744 0.744  1.33
2 Si 0.003 0.003 0.003  -0.02
3 Si 0.253 0.253 0.253  0.00
4 Ta 0.500 0.500 0.500  0.03

magnetization: 1.42 μB/f.u.
space-group type: R3m, No. 160
formation energy (no corrections): 0.134 eV per atom
DOS at the Fermi energy: 2.6 states/eV per cell

Record 9
The following is a DFT calculation (PBE-GGA) of a geometry-optimized CeScSb2 structure.

a = 4.344 Å, b = 4.344 Å, c = 7.459 Å
α = 90.01°, β = 106.92°, γ = 120.01°
Site moments in Bohr magnetons follow the coordinates.
Atoms (fractional coordinates):
1 Ce 0.000 0.500 0.500  0.71
2 Sc 0.000 0.000 0.000  0.00
3 Sb 0.514 0.257 0.771  -0.02
4 Sb 0.486 0.743 0.229  -0.02

magnetization: 0.76 μB/f.u.
space-group type: R-3m, No. 166
formation energy (no corrections): -0.983 eV per atom
energy above the most stable polymorph in this dataset: 0 meV per atom
DOS at the Fermi energy: 6.9 states/eV per cell

Record 10
The following is a DFT calculation (PBE-GGA) of a geometry-optimized CsCuP structure.

a = 7.064 Å, b = 7.605 Å, c = 7.064 Å
α = 90.00°, β = 115.04°, γ = 90.00°
Atoms (fractional coordinates):
1 Cs 0.807 0.000 0.193
2 Cs 0.193 0.000 0.807
3 Cs 0.307 0.500 0.693
4 Cs 0.693 0.500 0.307
5 Cu 0.883 0.616 0.883
6 Cu 0.383 0.884 0.383
7 Cu 0.617 0.116 0.617
8 Cu 0.117 0.384 0.117
9 P 0.676 0.824 0.676
10 P 0.824 0.324 0.824
11 P 0.324 0.176 0.324
12 P 0.176 0.676 0.176

magnetization: 0.00 μB/f.u.
formation energy from the elements: -0.22 eV per atom
space-group type: Cmce, No. 64
DOS at the Fermi energy: 9.5 states/eV per cell

Record 11
The following is a DFT calculation (PBE-GGA) of a geometry-optimized CuHW structure.

a = 6.226 Å, b = 4.552 Å, c = 4.614 Å
α = 90.00°, β = 90.00°, γ = 90.00°
Atoms (fractional coordinates):
1 H 0.680 0.250 0.999
2 H 0.820 0.750 0.499
3 H 0.320 0.750 0.001
4 H 0.180 0.250 0.501
5 Cu 0.000 0.000 0.000
6 Cu 0.500 0.500 0.500
7 Cu 0.500 0.000 0.500
8 Cu 0.000 0.500 0.000
9 W 0.388 0.250 0.000
10 W 0.112 0.750 0.500
11 W 0.612 0.750 0.000
12 W 0.888 0.250 0.500

magnetization: 0.00 μB/f.u.
space-group type: Pnma, No. 62
energy above the most stable polymorph in this dataset: 368 meV per atom
DOS at the Fermi energy: 3.6 states/eV per cell

Record 12
The following is a DFT calculation (PBE-GGA) of a geometry-optimized LiInAg2 structure.

a = 4.575 Å, b = 2.958 Å, c = 5.557 Å
α = 80.18°, β = 90.00°, γ = 90.00°
Atoms (fractional coordinates):
1 Li 0.500 0.750 0.750
2 Ag 0.000 0.958 0.982
3 Ag 0.000 0.542 0.518
4 In 0.500 0.250 0.250

magnetization: 0.00 μB/f.u.
formation energy from the elements: -0.14 eV per atom
space-group type: P2/m, No. 10
DOS at the Fermi energy: 0.8 states/eV per cell